Computed, not measured: crystalline KSn2RuAu at its relaxed geometry at the PBE level of DFT.

The structure in POSCAR format:
```
KSn2RuAu
1.0
5.689 0.000 0.000
0.000 5.208 0.000
0.000 0.000 5.689
Sn Au K Ru
2 1 1 1
Direct
0.500 0.000 0.000
0.000 0.000 0.500
0.000 0.500 0.000
0.000 0.000 0.000
0.500 0.500 0.500
```

## Properties
SG: P4/mmm

Computed, not measured: crystalline K2YRuAu at its relaxed geometry at the PBE level of DFT.

The structure in POSCAR format:
```
K2YRuAu
1.0
5.366 0.000 0.000
0.000 5.346 0.000
0.000 0.000 5.366
Y K Au Ru
1 2 1 1
Direct
0.500 0.500 0.500
0.500 0.000 0.000
0.000 0.000 0.500
0.000 0.500 0.000
0.000 0.000 0.000
```

## Properties
SG: P4/mmm

Computed, not measured: crystalline K2ZrRuAu at its relaxed geometry at the PBE level of DFT.

The structure in POSCAR format:
```
K2ZrRuAu
1.0
-5.953 -1.797 0.510
0.298 -2.594 -5.667
1.397 -4.077 1.940
K Zr Au Ru
2 1 1 1
Direct
0.500 0.000 0.000
0.000 0.500 0.000
0.000 0.000 0.500
0.500 0.500 0.500
0.000 0.000 0.000
```

## Properties
SG: P4/mmm

Computed, not measured: crystalline KZr2RuAu at its relaxed geometry at the PBE level of DFT.

The structure in POSCAR format:
```
KZr2RuAu
1.0
-4.100 1.466 -2.841
-2.232 -4.816 0.736
-2.352 1.747 4.296
Zr K Au Ru
2 1 1 1
Direct
0.500 0.000 0.000
0.000 0.000 0.500
0.000 0.500 0.000
0.000 0.000 0.000
0.500 0.500 0.500
```

## Properties
SG: P4/mmm

One value per record, in order, for E_tot: -12.2; -15.4; -19.3; -23.8 eV per cell.
One value per record, in order, for size of the total moment: 2.46; 0.00; 0.00; 0.00 μB per cell.